[1]
The following is a SCAN calculation of a crystal of LiMgZr2 relaxed with PBEsol, from the Alexandria database.

POSCAR file:
```
LiMgZr2
1.0
-0.1901 2.6285 -1.4258
-3.8368 -1.3639 -2.0028
-3.2187 1.4070 5.2079
Li Mg Zr
1 1 2
Cartesian
-1.6316 0.7291 2.6291 Li
-4.3699 1.4649 2.2327 Mg
-2.7834 1.1448 -0.5883 Zr
-0.0702 0.0363 0.1098 Zr
```

## Properties
The value obtained for the volume is 21.06 Å³ per atom. Its space group is Pm (6). The energy of formation is 0.17 eV/atom.

***

[2]
The following is a SCAN calculation of a crystal of AlCd2Cu relaxed with PBEsol, from the Alexandria database.

POSCAR file:
```
AlCd2Cu
1.0
-0.6415 1.7363 2.2932
0.9459 -0.7134 2.6984
7.8479 5.1201 0.2121
Cd Cu Al
2 1 1
Cartesian
2.1907 1.6299 1.2724 Cd
5.9617 4.5131 3.9314 Cd
4.0762 3.0715 2.6019 Cu
0.0000 0.0000 0.0000 Al
```

## Properties
The value obtained for the volume is 17.33 Å³ per atom. Its space group is R-3m (166). The energy of formation is 0.14 eV/atom.

***

[3]
The following is a SCAN calculation of a crystal of ZrCdP2 relaxed with PBEsol, from the Alexandria database.

POSCAR file:
```
ZrCdP2
1.0
-0.5653 3.4179 -0.2481
-1.0522 -0.4124 -3.2842
-5.5835 -0.7877 1.8878
P Cd Zr
2 1 1
Cartesian
-2.2372 3.1818 0.3172 P
-3.9116 -0.5516 1.3225 P
-0.8088 1.5027 -1.7661 Cd
-3.6005 1.1089 -0.8222 Zr
```

## Properties
The value obtained for the volume is 17.93 Å³ per atom. Its space group is P4/mmm (123). The energy of formation is -0.53 eV/atom.

***

[4]
The following is a SCAN calculation of a crystal of SrY5 relaxed with PBEsol, from the Alexandria database.

POSCAR file:
```
SrY5
1.0
3.6251 -0.0001 -0.0001
-1.8127 6.5786 0.0161
-0.0002 -2.0099 8.3111
Y Sr
5 1
Cartesian
1.8123 1.1186 7.7994 Y
1.8124 1.5543 2.8509 Y
0.0002 4.4356 2.4281 Y
-0.0002 -0.4643 5.0257 Y
0.0000 2.9907 5.4719 Y
0.0003 0.0201 0.0105 Sr
```

## Properties
The value obtained for the volume is 33.05 Å³ per atom. Its space group is Cm (8). The energy of formation is 0.10 eV/atom.

***

[5]
The following is a SCAN calculation of a crystal of SiTe2 relaxed with PBEsol, from the Alexandria database.

POSCAR file:
```
SiTe2
1.0
-2.1101 2.0785 -2.2796
-1.2676 -0.9278 3.3914
6.0668 12.3525 5.6470
Te Si
4 2
Cartesian
-0.8853 1.4246 2.1184 Te
3.5743 12.0786 4.6404 Te
1.8673 8.6030 3.0515 Te
0.8217 4.9002 3.7073 Te
0.0000 0.0000 0.0000 Si
3.0334 6.1763 2.8235 Si
```

## Properties
The value obtained for the volume is 29.99 Å³ per atom. Its space group is P6_3/mmc (194). As for the uncorrected formation energy: 98 meV/atom.

***

[6]
The following is a SCAN calculation of a crystal of MgSiRh2 relaxed with PBEsol, from the Alexandria database.

POSCAR file:
```
MgSiRh2
1.0
4.2016 0.0000 0.0000
2.1008 3.6387 0.0000
2.1008 1.2129 3.4306
Si Rh Mg
1 2 1
Cartesian
0.0000 0.0000 0.0000 Si
2.1008 1.2129 0.8577 Rh
6.3024 3.6387 2.5730 Rh
4.2016 2.4258 1.7153 Mg
```

## Properties
The value obtained for the volume is 13.11 Å³ per atom. Its space group is Fm-3m (225). As for the uncorrected formation energy: -883 meV/atom.

***

[7]
The following is a SCAN calculation of a crystal of BaTaRh2 relaxed with PBEsol, from the Alexandria database.

POSCAR file:
```
BaTaRh2
1.0
4.2449 0.0000 0.0000
-2.1225 3.5954 -0.7410
0.0000 -3.5882 6.8431
Ta Ba Rh
1 1 2
Cartesian
2.1225 -1.7923 4.9471 Ta
2.1225 0.0018 1.5255 Ba
0.0000 -0.7415 3.9860 Rh
0.0000 -2.8432 5.9083 Rh
```

## Properties
The value obtained for the volume is 23.29 Å³ per atom. Its space group is R-3m (166). The energy of formation is -0.22 eV/atom. The calculation puts the energy above the most stable polymorph in this dataset at 0 meV/atom.

***

[8]
The following is a SCAN calculation of a crystal of GeTe2N relaxed with PBEsol, from the Alexandria database.

POSCAR file:
```
GeTe2N
1.0
5.6619 0.0000 0.0000
0.0000 5.6619 0.0000
-2.8309 -2.8309 6.2735
Te N Ge
4 2 2
Cartesian
1.4155 0.8456 4.7051 Te
1.9853 4.2464 1.5684 Te
-1.4155 -0.8456 4.7051 Te
3.6765 1.4155 1.5684 Te
2.8309 2.8309 0.0000 N
2.8309 0.0000 3.1367 N
0.0000 0.0000 0.0000 Ge
0.0000 2.8309 3.1367 Ge
```

## Properties
The value obtained for the volume is 25.14 Å³ per atom. Its space group is I-42d (122). As for the uncorrected formation energy: 826 meV/atom.

***

[9]
The following is a SCAN calculation of a crystal of CaTe2Rh relaxed with PBEsol, from the Alexandria database.

POSCAR file:
```
CaTe2Rh
1.0
4.1649 0.0000 0.0000
2.0824 3.6069 0.0000
2.0824 1.2023 6.5316
Te Ca Rh
2 1 1
Cartesian
6.2473 3.6069 5.2622 Te
2.0824 1.2023 1.2695 Te
4.1649 2.4046 3.2658 Ca
0.0000 0.0000 0.0000 Rh
```

## Properties
The value obtained for the volume is 24.53 Å³ per atom. Its space group is R-3m (166). As for the uncorrected formation energy: -804 meV/atom. The calculation puts the energy above the most stable polymorph in this dataset at 109 meV/atom.

***

[10]
The following is a SCAN calculation of a crystal of CoCuW2 relaxed with PBEsol, from the Alexandria database.

POSCAR file:
```
CoCuW2
1.0
2.6803 0.1042 0.0000
-0.1023 2.6803 0.0000
0.0000 0.0000 7.3567
Co W Cu
1 2 1
Cartesian
0.0000 0.0000 3.6121 Co
0.0000 0.0000 0.1522 W
1.2890 1.3922 5.2603 W
1.2890 1.3922 2.0105 Cu
```

## Properties
The value obtained for the volume is 13.23 Å³ per atom. Its space group is P4mm (99). The energy of formation is 0.29 eV/atom. The calculation puts the energy above the most stable polymorph in this dataset at 24 meV/atom.

***

[11]
The following is a SCAN calculation of a crystal of FeSnGe2Pd relaxed with PBEsol, from the Alexandria database.

POSCAR file:
```
FeSnGe2Pd
1.0
4.3664 0.0000 0.0000
0.0000 4.3664 0.0000
0.0000 0.0000 4.8952
Fe Sn Ge Pd
1 1 2 1
Cartesian
0.0000 0.0000 0.0000 Fe
0.0000 0.0000 2.4476 Sn
0.0000 2.1832 0.0000 Ge
2.1832 0.0000 0.0000 Ge
2.1832 2.1832 2.4476 Pd
```

## Properties
The value obtained for the volume is 18.67 Å³ per atom. Its space group is P4/mmm (123). The energy of formation is 0.29 eV/atom.

***

[12]
The following is a SCAN calculation of a crystal of KBeSb2Te relaxed with PBEsol, from the Alexandria database.

POSCAR file:
```
KBeSb2Te
1.0
4.9481 0.0000 0.0000
0.0000 4.9481 0.0000
0.0000 0.0000 5.4891
Be Te Sb K
1 1 2 1
Cartesian
0.0000 0.0000 0.0000 Be
0.0000 0.0000 2.7446 Te
0.0000 2.4741 0.0000 Sb
2.4741 0.0000 0.0000 Sb
2.4741 2.4741 2.7446 K
```

## Properties
The value obtained for the volume is 26.88 Å³ per atom. Its space group is P4/mmm (123). As for the uncorrected formation energy: 73 meV/atom.

***

[13]
The following is a SCAN calculation of a crystal of BaCo2N2 relaxed with PBEsol, from the Alexandria database.

POSCAR file:
```
BaCo2N2
1.0
-3.7875 2.5846 -3.8831
-2.2799 -3.4946 4.5465
-2.8733 2.6477 4.5649
Co Ba N
4 2 4
Cartesian
-4.8879 3.9317 1.5060 Co
-2.3176 2.0159 2.3726 Co
-1.7728 1.3007 -0.8243 Co
-4.3432 3.2165 -1.6909 Co
-4.6989 0.8531 0.5021 Ba
-4.2418 0.8846 4.7261 Ba
-1.5863 1.3135 0.8992 N
-2.9844 2.1490 -1.8299 N
-3.6764 3.0833 2.5117 N
-5.0744 3.9188 -0.2175 N
```

## Properties
The value obtained for the volume is 16.16 Å³ per atom. Its space group is I4/mcm (140). As for the uncorrected formation energy: -372 meV/atom.

***

[14]
The following is a SCAN calculation of a crystal of ZrScAl2 relaxed with PBEsol, from the Alexandria database.

POSCAR file:
```
ZrScAl2
1.0
-1.4904 -2.2770 -1.3391
2.6389 -2.6783 1.6171
-3.5381 -0.5469 4.8678
Zr Al Sc
1 2 1
Cartesian
-1.1948 -2.7511 2.5729 Zr
-2.6471 -0.4092 3.6419 Al
-0.8910 -0.1377 1.2259 Al
0.5743 -2.4777 0.1390 Sc
```

## Properties
The value obtained for the volume is 18.75 Å³ per atom. Its space group is Pmmm (47). The energy of formation is -0.46 eV/atom. The calculation puts the energy above the most stable polymorph in this dataset at 4 meV/atom.

***

Number 1: calculated density 4.21 g/cm³. Number 2: calculated density 7.55 g/cm³. Number 3: calculated density 6.15 g/cm³. Number 4: calculated density 4.46 g/cm³. Number 5: calculated density 5.23 g/cm³. Number 6: calculated density 8.17 g/cm³. Number 7: calculated density 9.34 g/cm³. Number 8: calculated density 5.65 g/cm³. Number 9: calculated density 6.74 g/cm³. Number 10: calculated density 15.38 g/cm³. Number 11: calculated density 7.58 g/cm³. Number 12: calculated density 5.18 g/cm³. Number 13: calculated density 5.82 g/cm³. Number 14: calculated density 4.21 g/cm³.